NaWF4 after structural relaxation. Source: Alexandria, functional GGA+U.

Calculated values
The value obtained for the magnetization is 3.00 μB per formula unit. The calculated density is 5.14 g/cm³. The space-group type is Cmmm. As for the uncorrected energy: -32.0 eV/cell.

Structure (POSCAR):
```
NaWF4
1.0
-3.204 -0.419 -1.207
1.671 -3.717 -3.145
-0.966 -3.397 3.745
F W Na
4 1 1
Direct
0.500 0.675 0.325
0.000 0.791 0.791
0.500 0.325 0.675
0.000 0.209 0.209
0.000 0.500 0.500
0.500 0.000 0.000
```